No. 1
The following is a PBE calculation of an optimized crystal structure of CaLaTc2, from the Alexandria database.

POSCAR file:
```
CaLaTc2
1.0
3.110 -4.690 0.000
3.110 4.690 0.000
-1.051 0.000 2.808
Ca La Tc
1 1 2
direct
0.000 0.000 0.000
0.500 0.500 0.000
0.000 0.500 0.500
0.500 0.000 0.500
```

- calculated volume (Å³ per cell) = 82
- DOS(E_F) (states/eV/cell) = 5.7
- symmetry = No. 12
- energy relative to the elements (eV per atom) = 0.668
- total moment (μB per formula unit) = 0.00
- raw total energy (eV per atom) = -6.25

No. 2
The following is a PBE calculation of an optimized crystal structure of CoPt2Pb, from the Alexandria database.

POSCAR file:
```
CoPt2Pb
1.0
3.982 0.000 0.000
0.000 3.982 0.000
0.000 0.000 4.140
Co Pt Pb
1 2 1
direct
0.000 0.000 0.000
0.000 0.500 0.500
0.500 0.000 0.500
0.500 0.500 0.000
```

- calculated volume (Å³ per cell) = 66
- DOS(E_F) (states/eV/cell) = 2.9
- symmetry = No. 123
- energy relative to the elements (eV per atom) = 0.076
- total moment (μB per formula unit) = 1.10
- raw total energy (eV per atom) = -5.65

No. 3
The following is a PBE calculation of an optimized crystal structure of LaCe2Au, from the Alexandria database.

POSCAR file:
```
LaCe2Au
1.0
0.000 3.736 3.736
3.736 0.000 3.736
3.736 3.736 0.000
La Ce Au
1 2 1
direct
0.000 0.000 0.000
0.250 0.250 0.250
0.750 0.750 0.750
0.500 0.500 0.500
```

- calculated volume (Å³ per cell) = 104
- DOS(E_F) (states/eV/cell) = 11.8
- symmetry = No. 225
- energy relative to the elements (eV per atom) = -0.140
- total moment (μB per formula unit) = 2.83
- raw total energy (eV per atom) = -5.16

No. 4
The following is a PBE calculation of an optimized crystal structure of Mg2TaCo5B2, from the Alexandria database.

POSCAR file:
```
Mg2TaCo5B2
1.0
8.853 0.000 0.000
0.000 8.853 0.000
0.000 0.000 2.904
Mg Ta Co B
4 2 10 4
direct
0.177 0.323 0.000
0.323 0.823 0.000
0.677 0.177 0.000
0.823 0.677 0.000
0.000 0.000 0.000
0.500 0.500 0.000
0.000 0.500 0.500
0.069 0.775 0.500
0.225 0.069 0.500
0.275 0.569 0.500
0.431 0.275 0.500
0.500 0.000 0.500
0.569 0.725 0.500
0.725 0.431 0.500
0.775 0.931 0.500
0.931 0.225 0.500
0.117 0.617 0.000
0.383 0.117 0.000
0.617 0.883 0.000
0.883 0.383 0.000
```

- calculated volume (Å³ per cell) = 228
- DOS(E_F) (states/eV/cell) = 9.8
- symmetry = No. 127
- energy relative to the elements (eV per atom) = -0.253
- total moment (μB per formula unit) = 0.00
- raw total energy (eV per atom) = -6.65

No. 5
The following is a PBE calculation of an optimized crystal structure of NiTeW, from the Alexandria database.

POSCAR file:
```
NiTeW
1.0
0.000 3.040 3.040
3.040 0.000 3.040
3.040 3.040 0.000
Ni Te W
1 1 1
direct
0.000 0.000 0.000
0.250 0.250 0.250
0.500 0.500 0.500
```

- calculated volume (Å³ per cell) = 56
- DOS(E_F) (states/eV/cell) = 2.2
- uncorrected formation energy (meV/atom) = 834
- symmetry = No. 216
- total moment (μB per formula unit) = 0.00
- raw total energy (eV per atom) = -6.46

No. 6
The following is a PBE calculation of an optimized crystal structure of Tb3TiIn3Te8, from the Alexandria database.

POSCAR file:
```
Tb3TiIn3Te8
1.0
4.308 2.487 8.049
-4.308 2.487 8.049
0.000 -4.975 8.049
Tb Ti In Te
3 1 3 8
direct
0.000 0.500 0.500
0.500 0.000 0.500
0.500 0.500 0.000
0.000 0.000 0.000
0.000 0.000 0.500
0.000 0.500 0.000
0.500 0.000 0.000
0.225 0.225 0.762
0.225 0.762 0.225
0.238 0.775 0.775
0.258 0.258 0.258
0.742 0.742 0.742
0.762 0.225 0.225
0.775 0.238 0.775
0.775 0.775 0.238
```

- calculated volume (Å³ per cell) = 518
- DOS(E_F) (states/eV/cell) = 2.5
- uncorrected formation energy (meV/atom) = -891
- symmetry = No. 166
- total moment (μB per formula unit) = 0.24
- raw total energy (eV per atom) = -4.57

No. 7
The following is a PBE calculation of an optimized crystal structure of LiNd2ZnAu6, from the Alexandria database.

POSCAR file:
```
LiNd2ZnAu6
1.0
5.470 0.000 0.000
2.726 6.299 0.000
2.732 -0.322 6.410
Li Nd Zn Au
1 2 1 6
direct
0.000 0.000 0.000
0.468 0.284 0.782
0.532 0.716 0.218
0.000 0.500 0.500
0.005 0.268 0.222
0.152 0.096 0.600
0.495 0.733 0.778
0.505 0.267 0.222
0.848 0.904 0.400
0.995 0.732 0.778
```

- calculated volume (Å³ per cell) = 221
- DOS(E_F) (states/eV/cell) = 5.2
- symmetry = No. 2
- energy relative to the elements (eV per atom) = -0.475
- total moment (μB per formula unit) = 0.00
- raw total energy (eV per atom) = -3.71

No. 8
The following is a PBE calculation of an optimized crystal structure of YZrInHg, from the Alexandria database.

POSCAR file:
```
YZrInHg
1.0
0.000 3.636 3.636
3.636 0.000 3.636
3.636 3.636 0.000
Y Zr In Hg
1 1 1 1
direct
0.000 0.000 0.000
0.500 0.500 0.500
0.250 0.250 0.250
0.750 0.750 0.750
```

- calculated volume (Å³ per cell) = 96
- DOS(E_F) (states/eV/cell) = 3.7
- symmetry = No. 216
- energy relative to the elements (eV per atom) = -0.296
- total moment (μB per formula unit) = 0.00
- raw total energy (eV per atom) = -4.81